First-principles (GGA-PBE) data for a geometry-optimized LiMg2Tc structure, as listed in Alexandria.

a b c (Å): 3.328 4.419 9.477
angles (deg): 90.00 90.00 90.00
Space group Cmm2 (No. 35)
Symmetry-distinct sites (fractional):
Li: 0.000 0.000 0.000 x2
Mg: 0.000 0.000 0.456 x2
Mg: 0.000 0.500 0.735 x2
Tc: 0.000 0.500 0.226 x2

The value obtained for the calculated volume is 139 Å³ per cell. The value obtained for the calculated formation energy is 0.22 eV/atom. The calculated density is 3.7 g cm⁻³. For the energy above the most stable polymorph in this dataset, the calculation gives 0.058 eV/atom. Its density of states at the Fermi level is 0.4446 states/eV/atom. Its total magnetic moment is 0.0 μB/f.u.



First-principles (GGA-PBE) data for a geometry-optimized Cs3NaCd2Br8 structure, as listed in Alexandria.

a b c (Å): 8.0668 8.0668 10.3400
angles (deg): 90.00 90.00 120.00
Space group P-3m1 (No. 164)
Symmetry-distinct sites (fractional):
Cs: 0.0000 0.0000 0.0000 x1
Cs: 0.3333 0.6667 0.6186 x2
Na: 0.0000 0.0000 0.5000 x1
Cd: 0.3333 0.6667 0.2061 x2
Br: 0.1625 0.3250 0.3170 x6
Br: 0.3333 0.6667 0.9588 x2

The raw total energy is -0.2009 Ry per atom. The value obtained for the calculated volume is 583 Å³ per cell. The calculated density is 3.7 g cm⁻³. Its density of states at the Fermi level is 0.0000 states/eV/atom. Its total magnetic moment is 0.0 μB/f.u.



First-principles (GGA-PBE) data for a geometry-optimized K2NaSnCl8 structure, as listed in Alexandria.

a b c (Å): 6.458 6.952 8.435
angles (deg): 89.87 89.77 89.16
Space group P-1 (No. 2)
Symmetry-distinct sites (fractional):
K: 0.002 0.000 0.240 x2
Na: 0.500 0.500 0.500 x1
Sn: 0.500 0.500 0.000 x1
Cl: 0.267 0.385 0.216 x2
Cl: 0.268 0.383 0.786 x2
Cl: 0.312 0.811 0.999 x2
Cl: 0.341 0.892 0.500 x2

The raw total energy is -0.2313 Ry per atom. The value obtained for the calculated volume is 379 Å³ per cell. The calculated density is 2.2 g cm⁻³. Its total magnetic moment is 0.9 μB/f.u.



First-principles (GGA-PBE) data for a geometry-optimized YAuS2Cl structure, as listed in Alexandria.

a b c (Å): 4.918 4.918 4.792
angles (deg): 90.00 90.00 90.00
Space group P4/mmm (No. 123)
Symmetry-distinct sites (fractional):
Y: 0.000 0.000 0.000 x1
Au: 0.500 0.500 0.500 x1
S: 0.000 0.500 0.500 x2
Cl: 0.500 0.500 0.000 x1

The value obtained for the calculated volume is 116 Å³ per cell. The calculated density is 5.5 g cm⁻³. For the energy above the most stable polymorph in this dataset, the calculation gives 0.020 eV/atom. Its density of states at the Fermi level is 0.2266 states/eV/atom. Its total magnetic moment is 0.0 μB/f.u.



First-principles (GGA-PBE) data for a geometry-optimized AlReNi2 structure, as listed in Alexandria.

a b c (Å): 2.944 4.178 8.221
angles (deg): 90.00 90.00 90.00
Space group Immm (No. 71)
Symmetry-distinct sites (fractional):
Al: 0.000 0.000 0.000 x2
Re: 0.000 0.000 0.500 x2
Ni: 0.000 0.500 0.259 x4

The value obtained for the calculated volume is 101 Å³ per cell. The value obtained for the calculated formation energy is -0.05 eV/atom. The calculated density is 10.9 g cm⁻³. Its density of states at the Fermi level is 1.1728 states/eV/atom. Its total magnetic moment is 0.0 μB/f.u.



First-principles (GGA-PBE) data for a geometry-optimized AlTe2Pb structure, as listed in Alexandria.

a b c (Å): 3.741 3.741 7.791
angles (deg): 90.00 90.00 90.00
Space group P4/mmm (No. 123)
Symmetry-distinct sites (fractional):
Al: 0.000 0.000 0.000 x1
Te: 0.500 0.500 0.222 x2
Pb: 0.000 0.000 0.500 x1

The raw total energy is -0.2509 Ry per atom. The value obtained for the calculated volume is 109 Å³ per cell. The calculated density is 7.5 g cm⁻³. Its density of states at the Fermi level is 0.3821 states/eV/atom. Its total magnetic moment is 0.0 μB/f.u.



- What is the calculated volume in the fourth record?
  116 Å³ per cell



- Look up the calculated volume of the third one.
  379 Å³ per cell